(P)
Computed, not measured: a geometry-optimized AcYPt2 structure at the PBE level of DFT.

abc: 3.6366 3.6366 7.3065
angles: 90.00 90.00 90.00
Last column: nearest neighbours and their distance in Å.
Space group P4/mmm (No. 123)
One atom of each set of equivalent atoms:
Ac1 0.0000 0.0000 0.0000 [1 per cell]  8 Pt 3.29, 4 Ac 3.64, 2 Y 3.65
Y1 0.0000 0.0000 0.5000 [1 per cell]  8 Pt 3.03
Pt1 0.5000 0.5000 0.2808 [2 per cell]  4 Y 3.03, 1 Pt 3.20, 4 Ac 3.29

The value obtained for the density of states at the Fermi level is 2.65 states/eV/cell. The calculation puts the total moment at 0.0 μB per cell.

***

(Q)
Computed, not measured: a geometry-optimized AcYPt2 structure at the PBE level of DFT.

abc: 4.6039 3.9632 11.0416
angles: 90.00 90.00 90.00
Last column: nearest neighbours and their distance in Å.
Space group Amm2 (No. 38)
One atom of each set of equivalent atoms:
Ac1 0.0000 0.0000 0.0000 [2 per cell]  7 Pt 3.00-3.20
Y1 0.5000 0.0000 0.2727 [2 per cell]  7 Pt 3.08-3.14
Pt1 0.0000 0.0000 0.7281 [2 per cell]  3 Ac 3.00-3.20, 2 Pt 3.01, 4 Y 3.08
Pt2 0.5000 0.0000 0.5522 [2 per cell]  2 Pt 3.01, 3 Y 3.09-3.14, 4 Ac 3.09

The value obtained for the density of states at the Fermi level is 5.23 states/eV/cell. The calculation puts the total moment at 0.0 μB per cell.

***

How far above the most stable structure does each one sit? In eV/atom: (P) 0.081; (Q) 0.000.

***

(P)
Computed, not measured: a geometry-optimized Ac4ZnPt structure at the PBE level of DFT.

abc: 7.5591 7.5591 7.6450
angles: 90.00 90.13 90.00
Last column: nearest neighbours and their distance in Å.
Space group C2/m (No. 12)
One atom of each set of equivalent atoms:
Ac1 0.2495 0.2498 0.2433 [8 per cell]  2 Pt 3.25-3.26, 2 Zn 3.32
Zn1 0.0000 0.0000 0.5000 [2 per cell]  8 Ac 3.32
Pt1 0.0000 0.5000 0.0000 [2 per cell]  8 Ac 3.25-3.26

The value obtained for the density of states at the Fermi level is 18.41 states/eV/cell. The calculation puts the total moment at 0.0 μB per cell.

***

(Q)
Computed, not measured: a geometry-optimized Ac4ZnPt structure at the PBE level of DFT.

abc: 6.9170 7.6669 8.5549
angles: 90.00 108.06 90.00
Last column: nearest neighbours and their distance in Å.
Space group P2_1/m (No. 11)
One atom of each set of equivalent atoms:
Ac1 0.0037 0.9999 0.2352 [4 per cell]  2 Pt 3.10-3.12, 2 Zn 3.25-3.27
Ac2 0.4354 0.2500 0.6202 [2 per cell]  1 Pt 3.08, 1 Zn 3.26
Ac3 0.4444 0.2500 0.0999 [2 per cell]  1 Pt 3.04, 1 Zn 3.21
Zn1 0.2047 0.7500 0.5513 [2 per cell]  6 Ac 3.21-3.27
Pt1 0.2131 0.7500 0.0529 [2 per cell]  6 Ac 3.04-3.12

The value obtained for the density of states at the Fermi level is 13.49 states/eV/cell. The calculation puts the total moment at 0.0 μB per cell.

***

How far above the most stable structure does each one sit? In eV/atom: (P) 0.137; (Q) 0.000.

***

(P)
Computed, not measured: a geometry-optimized Ac2ZnPt structure at the PBE level of DFT.

abc: 4.4549 4.4549 29.7068
angles: 90.00 90.00 120.00
Last column: nearest neighbours and their distance in Å.
Space group R-3m (No. 166, hexagonal axes)
One atom of each set of equivalent atoms:
Ac1 0.0000 0.0000 0.1130 [6 per cell]  3 Pt 3.03, 1 Zn 3.36
Zn1 0.0000 0.0000 0.0000 [3 per cell]  2 Ac 3.36
Pt1 0.0000 0.0000 0.5000 [3 per cell]  6 Ac 3.03

The value obtained for the density of states at the Fermi level is 8.49 states/eV/cell. The calculation puts the total moment at 0.0 μB per cell.

***

(Q)
Computed, not measured: a geometry-optimized Ac2ZnPt structure at the PBE level of DFT.

abc: 4.4359 4.4359 23.3289
angles: 90.00 90.00 120.00
Last column: nearest neighbours and their distance in Å.
Space group R3m (No. 160, hexagonal axes)
One atom of each set of equivalent atoms:
Ac1 0.0000 0.0000 0.0000 [3 per cell]  3 Pt 3.08, 3 Zn 3.39
Ac2 0.0000 0.0000 0.1898 [3 per cell]  3 Pt 3.04, 3 Zn 3.39
Zn1 0.0000 0.0000 0.4282 [3 per cell]  6 Ac 3.39
Pt1 0.0000 0.0000 0.5937 [3 per cell]  6 Ac 3.04-3.08

The value obtained for the density of states at the Fermi level is 8.71 states/eV/cell. The calculation puts the total moment at 0.0 μB per cell.

***

How far above the most stable structure does each one sit? In eV/atom: (P) 0.272; (Q) 0.000.

***

(P)
Computed, not measured: a geometry-optimized Ac2ZnPt structure at the PBE level of DFT.

abc: 3.8655 3.8655 7.6418
angles: 90.00 90.00 90.00
Last column: nearest neighbours and their distance in Å.
Space group P4/mmm (No. 123)
One atom of each set of equivalent atoms:
Ac1 0.0000 0.0000 0.2361 [2 per cell]  4 Pt 3.28, 4 Zn 3.40, 1 Ac 3.61
Zn1 0.5000 0.5000 0.5000 [1 per cell]  8 Ac 3.40
Pt1 0.5000 0.5000 0.0000 [1 per cell]  8 Ac 3.28

The value obtained for the density of states at the Fermi level is 3.71 states/eV/cell. The calculation puts the total moment at 0.0 μB per cell.

***

(Q)
Computed, not measured: a geometry-optimized Ac2ZnPt structure at the PBE level of DFT.

abc: 7.6752 7.6752 7.6752
angles: 90.00 90.00 90.00
Last column: nearest neighbours and their distance in Å.
Space group Fm-3m (No. 225)
One atom of each set of equivalent atoms:
Ac1 0.2500 0.2500 0.2500 [8 per cell]  4 Pt 3.32, 4 Zn 3.32
Zn1 0.0000 0.0000 0.0000 [4 per cell]  8 Ac 3.32
Pt1 0.0000 0.0000 0.5000 [4 per cell]  8 Ac 3.32

The value obtained for the density of states at the Fermi level is 10.68 states/eV/cell. The calculation puts the total moment at 0.0 μB per cell.

***

(R)
Computed, not measured: a geometry-optimized Ac2ZnPt structure at the PBE level of DFT.

abc: 6.3077 4.6581 8.5540
angles: 90.00 111.26 90.00
Last column: nearest neighbours and their distance in Å.
Space group P2_1/m (No. 11)
One atom of each set of equivalent atoms:
Ac1 0.2213 0.2500 0.4376 [2 per cell]  4 Pt 3.20-3.38, 3 Zn 3.22-3.31
Ac2 0.2285 0.2500 0.9214 [2 per cell]  3 Pt 3.19-3.28, 4 Zn 3.24-3.42
Zn1 0.3519 0.7500 0.2129 [2 per cell]  2 Pt 2.91, 2 Ac 3.22-3.24
Pt1 0.3515 0.7500 0.7130 [2 per cell]  2 Zn 2.91, 4 Ac 3.19-3.20

The value obtained for the density of states at the Fermi level is 5.87 states/eV/cell. The calculation puts the total moment at 0.0 μB per cell.

***

How far above the most stable structure does each one sit? In eV/atom: (P) 0.062; (Q) 0.081; (R) 0.000.

***

(P)
Computed, not measured: a geometry-optimized AcZn2Pt3 structure at the PBE level of DFT.

abc: 5.6925 5.6925 4.0520
angles: 90.00 90.00 120.00
Last column: nearest neighbours and their distance in Å.
Space group P6/mmm (No. 191)
One atom of each set of equivalent atoms:
Ac1 0.0000 0.0000 0.0000 [1 per cell]  6 Zn 3.29, 12 Pt 3.49
Zn1 0.3333 0.6667 0.0000 [2 per cell]  6 Pt 2.61
Pt1 0.0000 0.5000 0.5000 [3 per cell]  4 Zn 2.61, 4 Pt 2.85

The value obtained for the density of states at the Fermi level is 2.13 states/eV/cell. The calculation puts the total moment at 0.0 μB per cell.

***

(Q)
Computed, not measured: a geometry-optimized AcZn2Pt3 structure at the PBE level of DFT.

abc: 7.7982 11.2774 5.7862
angles: 90.00 90.00 90.00
Last column: nearest neighbours and their distance in Å.
Space group Cmcm (No. 63)
One atom of each set of equivalent atoms:
Ac1 0.0000 0.1879 0.2500 [4 per cell]  8 Pt 3.14-3.43
Zn1 0.1709 0.5000 0.0000 [8 per cell]  4 Pt 2.51-2.59, 1 Zn 2.67
Pt1 0.0000 0.3510 0.7500 [4 per cell]  4 Zn 2.59, 2 Pt 2.67
Pt2 0.1753 0.1481 0.7500 [8 per cell]  2 Zn 2.51, 2 Pt 2.67-2.73

The value obtained for the density of states at the Fermi level is 7.43 states/eV/cell. The calculation puts the total moment at 0.0 μB per cell.

***

How far above the most stable structure does each one sit? In eV/atom: (P) 0.000; (Q) 0.216.

***

(P)
Computed, not measured: a geometry-optimized AcZn4Pt2 structure at the PBE level of DFT.

abc: 7.8819 7.8819 4.2168
angles: 90.00 90.00 90.00
Last column: nearest neighbours and their distance in Å.
Space group P4_2/mnm (No. 136)
One atom of each set of equivalent atoms:
Ac1 0.0000 0.0000 0.0000 [2 per cell]  6 Pt 3.14-3.22, 4 Zn 3.44
Zn1 0.0897 0.3502 0.5000 [8 per cell]  3 Pt 2.64-2.65, 6 Zn 2.75-2.90
Pt1 0.2180 0.7820 0.5000 [4 per cell]  6 Zn 2.64-2.65

The value obtained for the density of states at the Fermi level is 5.35 states/eV/cell. The calculation puts the total moment at 0.0 μB per cell.

***

(Q)
Computed, not measured: a geometry-optimized AcZn4Pt2 structure at the PBE level of DFT.

abc: 4.2354 15.0205 4.2266
angles: 90.00 90.00 90.00
Last column: nearest neighbours and their distance in Å.
Space group Cmmm (No. 65)
One atom of each set of equivalent atoms:
Ac1 0.0000 0.0000 0.0000 [2 per cell]  8 Pt 3.29, 8 Zn 3.57-3.60
Zn1 0.0000 0.1940 0.5000 [4 per cell]  2 Pt 2.62, 4 Zn 2.70-2.73
Zn2 0.0000 0.3089 0.0000 [4 per cell]  2 Pt 2.60, 4 Zn 2.73-2.76
Pt1 0.0000 0.4092 0.5000 [4 per cell]  4 Zn 2.60-2.62, 1 Pt 2.73

The value obtained for the density of states at the Fermi level is 5.39 states/eV/cell. The calculation puts the total moment at 0.0 μB per cell.

***

How far above the most stable structure does each one sit? In eV/atom: (P) 0.000; (Q) 0.086.